[1]
DyHfTh2N4 after structural relaxation. Source: the Alexandria database, functional PBE.

Cell: 6.012 3.451 6.133 Å, 90.00 108.84 90.00°
Sites, in units of the cell vectors:
Dy 0.000 0.000 0.000
Hf 0.500 0.500 0.000
Th 0.000 0.500 0.500
Th 0.500 0.000 0.500
N 0.260 0.500 0.226
N 0.275 0.000 0.782
N 0.725 0.000 0.218
N 0.740 0.500 0.774

space-group type: P2/m
E_form (uncorrected): -1.60 eV per atom

***

[2]
DyHfThN3 after structural relaxation. Source: the Alexandria database, functional PBE.

Cell: 6.423 3.339 9.871 Å, 90.00 94.12 90.00°
Sites, in units of the cell vectors:
Dy 0.170 0.250 0.112
Dy 0.830 0.750 0.888
Hf 0.329 0.750 0.418
Hf 0.671 0.250 0.582
Th 0.306 0.750 0.759
Th 0.694 0.250 0.241
N 0.112 0.250 0.879
N 0.325 0.250 0.555
N 0.398 0.750 0.203
N 0.602 0.250 0.797
N 0.675 0.750 0.445
N 0.888 0.750 0.121

space-group type: P2_1/m
E_form (uncorrected): -1.33 eV per atom

***

[3]
DyTm2HfN4 after structural relaxation. Source: the Alexandria database, functional PBE.

Cell: 5.812 3.354 5.826 Å, 90.00 109.25 90.00°
Sites, in units of the cell vectors:
Dy 0.000 0.000 0.000
Tm 0.500 0.000 0.500
Tm 0.500 0.500 0.000
Hf 0.000 0.500 0.500
N 0.238 0.000 0.735
N 0.245 0.500 0.262
N 0.755 0.500 0.738
N 0.762 0.000 0.265

space-group type: P2/m
E_form (uncorrected): -1.81 eV per atom

***

[4]
DyTmHfN3 after structural relaxation. Source: the Alexandria database, functional PBE.

Cell: 5.692 3.326 8.762 Å, 90.00 101.15 90.00°
Sites, in units of the cell vectors:
Dy 0.162 0.250 0.200
Dy 0.838 0.750 0.800
Tm 0.349 0.250 0.861
Tm 0.651 0.750 0.139
Hf 0.266 0.750 0.543
Hf 0.734 0.250 0.457
N 0.043 0.250 0.649
N 0.247 0.750 0.009
N 0.467 0.750 0.357
N 0.533 0.250 0.643
N 0.753 0.250 0.991
N 0.957 0.750 0.351

space-group type: P2_1/m
E_form (uncorrected): -1.56 eV per atom